# 1
Entry from Alexandria via LeMat-Bulk: a relaxed structure of Ta2RuAu (PBE).

Properties
The value obtained for the total energy is -107.89 eV/cell. The calculation puts the polymorph energy (0 for the lowest one) at 237 meV per atom. The formation energy is 0.0741 eV/atom. Its symmetry is R-3m.

a b c (Å): 2.907 2.907 27.966
angles (deg): 90.00 90.00 120.00
Atoms (fractional coordinates):
Ta  0.000  0.000  0.246
Ta  0.000  0.000  0.754
Ta  0.333  0.667  0.421
Ta  0.333  0.667  0.912
Ta  0.667  0.333  0.088
Ta  0.667  0.333  0.579
Ru  0.000  0.000  0.500
Ru  0.333  0.667  0.167
Ru  0.667  0.333  0.833
Au  0.000  0.000  0.000
Au  0.333  0.667  0.667
Au  0.667  0.333  0.333

---

# 2
Entry from Alexandria via LeMat-Bulk: a relaxed structure of La2InBi4 (PBE).

Properties
The value obtained for the total energy is -64.20 eV/cell. The calculation puts the polymorph energy (0 for the lowest one) at 33 meV per atom. The formation energy is -0.5687 eV/atom. Its symmetry is C2/m.

a b c (Å): 9.454 10.023 6.849
angles (deg): 90.00 133.38 90.00
Atoms (fractional coordinates):
La  0.250  0.250  0.000
La  0.250  0.750  0.000
La  0.750  0.250  0.000
La  0.750  0.750  0.000
In  0.000  0.000  0.500
In  0.500  0.500  0.500
Bi  0.000  0.000  0.000
Bi  0.000  0.500  0.000
Bi  0.250  0.250  0.500
Bi  0.250  0.750  0.500
Bi  0.500  0.000  0.000
Bi  0.500  0.500  0.000
Bi  0.750  0.250  0.500
Bi  0.750  0.750  0.500

---

# 3
Entry from Alexandria via LeMat-Bulk: a relaxed structure of Mg2InTc (PBE).

Properties
The value obtained for the total energy is -15.58 eV/cell. The formation energy is 0.1792 eV/atom. Its symmetry is Pmm2.

a b c (Å): 2.945 4.316 5.870
angles (deg): 90.00 90.00 90.00
Atoms (fractional coordinates):
Mg  0.000  0.000  0.000
Mg  0.500  0.500  0.260
In  0.500  0.500  0.728
Tc  0.000  0.000  0.487

---

# 4
Entry from Alexandria via LeMat-Bulk: a relaxed structure of La2TbIn2 (PBE).

Properties
The value obtained for the total energy is -43.89 eV/cell. The calculation puts the polymorph energy (0 for the lowest one) at 0 meV per atom. The formation energy is -0.3970 eV/atom. Its symmetry is Immm.

a b c (Å): 5.137 7.205 8.501
angles (deg): 90.00 90.00 90.00
Atoms (fractional coordinates):
La  0.000  0.000  0.189
La  0.000  0.000  0.811
La  0.500  0.500  0.311
La  0.500  0.500  0.689
Tb  0.000  0.500  0.000
Tb  0.500  0.000  0.500
In  0.000  0.287  0.500
In  0.000  0.713  0.500
In  0.500  0.213  0.000
In  0.500  0.787  0.000

---

# 5
Entry from Alexandria via LeMat-Bulk: a relaxed structure of PaNbGa2 (PBE).

Properties
The value obtained for the total energy is -74.88 eV/cell. The calculation puts the polymorph energy (0 for the lowest one) at 445 meV per atom. The formation energy is 0.1650 eV/atom. Its symmetry is R-3m.

a b c (Å): 2.975 2.975 32.224
angles (deg): 90.00 90.00 120.00
Atoms (fractional coordinates):
Pa  0.000  0.000  0.000
Pa  0.333  0.667  0.667
Pa  0.667  0.333  0.333
Nb  0.000  0.000  0.500
Nb  0.333  0.667  0.167
Nb  0.667  0.333  0.833
Ga  0.000  0.000  0.095
Ga  0.000  0.000  0.905
Ga  0.333  0.667  0.572
Ga  0.333  0.667  0.762
Ga  0.667  0.333  0.238
Ga  0.667  0.333  0.428

---

# 6
Entry from Alexandria via LeMat-Bulk: a relaxed structure of Na2SnPb5 (PBE).

Properties
The value obtained for the total energy is -52.09 eV/cell. The calculation puts the polymorph energy (0 for the lowest one) at 0 meV per atom. The formation energy is -0.1078 eV/atom. Its symmetry is Cm.

a b c (Å): 11.900 6.940 6.942
angles (deg): 90.00 124.88 90.00
Atoms (fractional coordinates):
Na  0.000  0.000  0.000
Na  0.000  0.500  0.499
Na  0.500  0.000  0.499
Na  0.500  0.500  0.000
Sn  0.000  0.500  0.999
Sn  0.500  0.000  0.999
Pb  0.000  0.000  0.500
Pb  0.250  0.250  0.000
Pb  0.250  0.250  0.500
Pb  0.250  0.750  0.000
Pb  0.250  0.750  0.500
Pb  0.500  0.500  0.500
Pb  0.750  0.250  0.000
Pb  0.750  0.250  0.500
Pb  0.750  0.750  0.000
Pb  0.750  0.750  0.500

---

# 7
Entry from Alexandria via LeMat-Bulk: a relaxed structure of PrSeF (PBE).

Properties
The value obtained for the total energy is -35.82 eV/cell. Its symmetry is Pm.

a b c (Å): 6.213 4.053 6.214
angles (deg): 90.00 96.15 90.00
Atoms (fractional coordinates):
Pr  0.000  0.000  0.000
Pr  0.469  0.000  0.469
Se  0.115  0.500  0.354
Se  0.506  0.000  0.961
F  0.640  0.500  0.484
F  0.981  0.500  0.829

---

# 8
Entry from Alexandria via LeMat-Bulk: a relaxed structure of ZrAlHg (PBE).

Properties
The value obtained for the total energy is -53.07 eV/cell. The calculation puts the polymorph energy (0 for the lowest one) at 52 meV per atom. The formation energy is -0.2246 eV/atom. Its symmetry is Cmcm.

a b c (Å): 3.252 16.622 4.453
angles (deg): 90.00 90.00 90.00
Atoms (fractional coordinates):
Zr  0.000  0.104  0.250
Zr  0.000  0.896  0.750
Zr  0.500  0.396  0.750
Zr  0.500  0.604  0.250
Al  0.000  0.458  0.250
Al  0.000  0.542  0.750
Al  0.500  0.042  0.750
Al  0.500  0.958  0.250
Hg  0.000  0.294  0.250
Hg  0.000  0.706  0.750
Hg  0.500  0.206  0.750
Hg  0.500  0.794  0.250

---

# 9
Entry from Alexandria via LeMat-Bulk: a relaxed structure of Pm2Sn5Ir3 (PBE).

Properties
The value obtained for the total energy is -124.88 eV/cell. The formation energy is -0.6339 eV/atom. Its symmetry is Cmc2_1.

a b c (Å): 13.552 13.552 7.335
angles (deg): 90.00 90.00 160.94
Atoms (fractional coordinates):
Pm  0.023  0.977  0.500
Pm  0.327  0.673  0.476
Pm  0.673  0.327  0.976
Pm  0.977  0.023  0.000
Sn  0.097  0.903  0.127
Sn  0.205  0.795  0.683
Sn  0.210  0.790  0.257
Sn  0.379  0.621  0.004
Sn  0.452  0.548  0.337
Sn  0.548  0.452  0.837
Sn  0.621  0.379  0.504
Sn  0.790  0.210  0.757
Sn  0.795  0.205  0.183
Sn  0.903  0.097  0.627
Ir  0.106  0.894  0.755
Ir  0.277  0.723  0.969
Ir  0.450  0.550  0.719
Ir  0.550  0.450  0.219
Ir  0.723  0.277  0.469
Ir  0.894  0.106  0.255

---

# 10
Entry from Alexandria via LeMat-Bulk: a relaxed structure of NaSr2Au2O6 (PBE).

Properties
The value obtained for the total energy is -51.24 eV/cell. Its symmetry is R-3m.

a b c (Å): 7.152 7.152 7.152
angles (deg): 49.42 49.42 49.42
Atoms (fractional coordinates):
Na  0.000  0.000  0.000
Sr  0.204  0.204  0.204
Sr  0.796  0.796  0.796
Au  0.421  0.421  0.421
Au  0.579  0.579  0.579
O  0.190  0.761  0.761
O  0.239  0.239  0.810
O  0.239  0.810  0.239
O  0.761  0.190  0.761
O  0.761  0.761  0.190
O  0.810  0.239  0.239

---

# 11
Entry from Alexandria via LeMat-Bulk: a relaxed structure of NaMnTe3As (PBE).

Properties
The value obtained for the total energy is -52.19 eV/cell. Its symmetry is P2_1/m.

a b c (Å): 9.138 4.250 9.769
angles (deg): 90.00 103.05 90.00
Atoms (fractional coordinates):
Na  0.185  0.250  0.237
Na  0.815  0.750  0.763
Mn  0.082  0.250  0.605
Mn  0.918  0.750  0.395
Te  0.121  0.250  0.887
Te  0.226  0.750  0.515
Te  0.444  0.750  0.155
Te  0.556  0.250  0.845
Te  0.774  0.250  0.485
Te  0.879  0.750  0.113
As  0.338  0.750  0.876
As  0.662  0.250  0.124

---

# 12
Entry from Alexandria via LeMat-Bulk: a relaxed structure of CePm3Th2N6 (PBE).

Properties
The value obtained for the total energy is -103.36 eV/cell. Its symmetry is C2/m.

a b c (Å): 6.287 6.287 6.269
angles (deg): 99.62 99.62 119.97
Atoms (fractional coordinates):
Ce  0.000  0.000  0.000
Pm  0.165  0.835  0.500
Pm  0.500  0.500  0.500
Pm  0.835  0.165  0.500
Th  0.333  0.667  0.000
Th  0.667  0.333  0.000
N  0.080  0.412  0.239
N  0.253  0.253  0.761
N  0.412  0.080  0.239
N  0.588  0.920  0.761
N  0.747  0.747  0.239
N  0.920  0.588  0.761

---

# 13
Entry from Alexandria via LeMat-Bulk: a relaxed structure of Pm3HgSCl (PBE).

Properties
The value obtained for the total energy is -56.17 eV/cell. Its symmetry is P2_1/m.

a b c (Å): 7.887 4.064 10.785
angles (deg): 90.00 107.94 90.00
Atoms (fractional coordinates):
Pm  0.176  0.250  0.157
Pm  0.291  0.750  0.506
Pm  0.319  0.750  0.870
Pm  0.681  0.250  0.130
Pm  0.709  0.250  0.494
Pm  0.824  0.750  0.843
Hg  0.494  0.750  0.279
Hg  0.506  0.250  0.721
S  0.086  0.250  0.887
S  0.914  0.750  0.113
Cl  0.030  0.250  0.381
Cl  0.970  0.750  0.619

---

# 14
Entry from Alexandria via LeMat-Bulk: a relaxed structure of CuTeCl (PBE).

Properties
The value obtained for the total energy is -9.69 eV/cell. Its symmetry is P3m1.

a b c (Å): 3.497 3.497 6.936
angles (deg): 90.00 90.00 120.00
Atoms (fractional coordinates):
Cu  0.000  0.000  0.000
Te  0.333  0.667  0.264
Cl  0.667  0.333  0.809

---

# 15
Entry from Alexandria via LeMat-Bulk: a relaxed structure of Sr3ZrAs (PBE).

Properties
The value obtained for the total energy is -17.75 eV/cell. The calculation puts the polymorph energy (0 for the lowest one) at 0 meV per atom. The formation energy is 0.0994 eV/atom. Its symmetry is Pm-3m.

a b c (Å): 5.975 5.975 5.975
angles (deg): 90.00 90.00 90.00
Atoms (fractional coordinates):
Sr  0.000  0.000  0.500
Sr  0.000  0.500  0.000
Sr  0.500  0.000  0.000
Zr  0.500  0.500  0.500
As  0.000  0.000  0.000